No. 1
Density functional theory data (GGA-PBE) for an optimized crystal structure of ErGaPdPt.

```
ErGaPdPt
1.0
4.3769 0.0000 0.0000
-2.1884 3.7905 0.0000
0.0000 0.0000 9.0487
Er Ga Pd Pt
2 2 2 2
Direct
0.3333 0.6667 0.2463 Er
0.6667 0.3333 0.7537 Er
0.0000 0.0000 0.0000 Ga
0.0000 0.0000 0.5000 Ga
0.3333 0.6667 0.5814 Pd
0.6667 0.3333 0.4186 Pd
0.3333 0.6667 0.9113 Pt
0.6667 0.3333 0.0887 Pt
```

- SG: P-3m1 (164)
- DFT total energy: -0.420 Ry/atom
- Theoretical density: 11.91 g/cm3
- Total magnetic moment: 0.00 μB per formula unit

***

No. 2
Density functional theory data (GGA-PBE) for an optimized crystal structure of Er2Ga2PdPt3.

```
Er2Ga2PdPt3
1.0
4.3703 0.0000 0.0000
-2.1852 3.7848 0.0000
0.0000 0.0000 9.0440
Er Ga Pd Pt
2 2 1 3
Direct
0.0000 0.0000 0.0000 Er
0.3333 0.6667 0.5032 Er
0.6667 0.3333 0.2458 Ga
0.6667 0.3333 0.7500 Ga
0.0000 0.0000 0.3356 Pd
0.0000 0.0000 0.6628 Pt
0.3333 0.6667 0.1691 Pt
0.3333 0.6667 0.8369 Pt
```

- SG: P3m1 (156)
- DFT total energy: -0.431 Ry/atom
- Theoretical density: 12.94 g/cm3
- Total magnetic moment: 0.00 μB per formula unit